A plane-wave DFT calculation with GGA-PBE was carried out for CePrNd after structural relaxation.

a = 3.598 Å, b = 3.598 Å, c = 8.872 Å
α = 90.00°, β = 90.00°, γ = 120.00°
Last column: magnetic moment on the atom in μB.
Sites, in units of the cell vectors:
Pr 0.000 0.000 0.989  -0.01
Nd 0.667 0.333 0.345  -0.01
Ce 0.333 0.667 0.666  0.41

Calculated values
As for the theoretical density: 7.10 g/cm3. The energy above the most stable polymorph in this dataset comes out at 4 meV per atom. The formation energy comes out at 0.076 eV/atom. For the magnetic moment, the calculation gives 0.45 μB per cell.


A plane-wave DFT calculation with GGA-PBE was carried out for Pr12Er3Th after structural relaxation.

a = 5.189 Å, b = 5.189 Å, c = 20.722 Å
α = 90.00°, β = 90.00°, γ = 90.00°
Sites, in units of the cell vectors:
Pr 0.500 0.500 0.000
Pr 0.500 0.500 0.253
Pr 0.500 0.500 0.500
Pr 0.500 0.500 0.747
Pr 0.500 0.000 0.124
Pr 0.500 0.000 0.375
Pr 0.500 0.000 0.625
Pr 0.500 0.000 0.876
Pr 0.000 0.500 0.124
Pr 0.000 0.500 0.375
Pr 0.000 0.500 0.625
Pr 0.000 0.500 0.876
Er 0.000 0.000 0.251
Er 0.000 0.000 0.500
Er 0.000 0.000 0.749
Th 0.000 0.000 0.000

Calculated values
As for the theoretical density: 7.22 g/cm3. The formation energy comes out at 0.028 eV/atom. For the magnetic moment, the calculation gives 0.00 μB per cell.


A plane-wave DFT calculation with GGA-PBE was carried out for KCeAs2 after structural relaxation.

a = 4.417 Å, b = 4.417 Å, c = 7.921 Å
α = 73.81°, β = 73.81°, γ = 60.00°
Sites, in units of the cell vectors:
As 0.271 0.271 0.187
As 0.729 0.729 0.813
K 0.500 0.500 0.500
Ce 0.000 0.000 0.000

Calculated values
As for the theoretical density: 4.31 g/cm3. The energy above the most stable polymorph in this dataset comes out at 0 meV per atom. The formation energy comes out at -0.736 eV/atom. For the magnetic moment, the calculation gives 0.00 μB per cell.


Question: Which of these has the highest theoretical density?
Answer: Pr12Er3Th


Question: Among the records above, which one has the highest magnetic moment?
Answer: CePrNd


What did the first record say?
A plane-wave DFT calculation with GGA-PBE was carried out for CePrNd after structural relaxation.

a = 3.598 Å, b = 3.598 Å, c = 8.872 Å
α = 90.00°, β = 90.00°, γ = 120.00°
Last column: magnetic moment on the atom in μB.
Sites, in units of the cell vectors:
Pr 0.000 0.000 0.989  -0.01
Nd 0.667 0.333 0.345  -0.01
Ce 0.333 0.667 0.666  0.41

Calculated values
As for the theoretical density: 7.10 g/cm3. The energy above the most stable polymorph in this dataset comes out at 4 meV per atom. The formation energy comes out at 0.076 eV/atom. For the magnetic moment, the calculation gives 0.45 μB per cell.